The following is a DFT calculation (PBE) of a relaxed structure of CsYPb.

Cell: 5.412 11.540 5.533 Å, 61.37 90.00 103.56°
Sites, in units of the cell vectors:
1 Pb 0.169 0.337 0.913
2 Pb 0.831 0.663 0.087
3 Cs 0.417 0.835 0.415
4 Cs 0.583 0.165 0.585
5 Y 0.751 0.501 0.749
6 Y 0.249 0.499 0.251

Calculated values
DFT formation energy ... -0.2563 eV per atom
Volume ... 48.71 A^3/atom
Magnetic moment ... 0.0 μB/cell
Energy above the lowest structure with this stoichiometry ... 45.6 meV/atom
E_tot ... -3.932 eV/atom